# 1
SrHoHgRh: relaxed, PBE-GGA.

Values from the calculation:
Energy of formation from the pure elements in meV/atom: -382
Uncorrected energy in eV/atom: -3.8606
SG: No. 216
Fermi-level density of states in states/eV/f.u.: 2.96
Magnetization in μB per cell: 0.00

Geometry as extended XYZ:
```
4
Lattice="-4.2693 -1.4206 2.5706 0.3441 -3.3341 3.9520 -0.7705 1.6457 4.8529" Properties=species:S:1:pos:R:3 pbc="T T T"
Sr -3.5218 -2.3318 8.5316
Rh 0.0000 0.0000 0.0000
Hg -2.3479 -1.5545 5.6877
Ho -1.1739 -0.7773 2.8439
```



# 2
TbHoHgRh: relaxed, PBE-GGA.

Values from the calculation:
Energy of formation from the pure elements in meV/atom: -618
Uncorrected energy in eV/atom: -4.8328
Energy above the lowest structure with this stoichiometry in meV/atom: 78
SG: No. 216
Fermi-level density of states in states/eV/f.u.: 2.24
Magnetization in μB per cell: 0.00

Geometry as extended XYZ:
```
4
Lattice="-4.4721 1.9075 -1.3637 -2.0263 -1.2505 -4.4529 -4.0705 -2.9832 -0.1730" Properties=species:S:1:pos:R:3 pbc="T T T"
Rh 0.0000 0.0000 0.0000
Tb -2.6422 -0.5815 -1.4974
Hg -5.2844 -1.1631 -2.9948
Ho -7.9266 -1.7446 -4.4922
```



# 3
TbHoHgRh: relaxed, PBE-GGA.

Values from the calculation:
Energy of formation from the pure elements in meV/atom: -695
Uncorrected energy in eV/atom: -4.9107
Energy above the lowest structure with this stoichiometry in meV/atom: 0
SG: No. 99
Fermi-level density of states in states/eV/f.u.: 2.13
Magnetization in μB per cell: 0.00

Geometry as extended XYZ:
```
4
Lattice="3.4990 0.0000 0.0000 0.0000 3.4990 0.0000 0.0000 0.0000 7.5044" Properties=species:S:1:pos:R:3 pbc="T T T"
Tb 0.0000 0.0000 6.2091
Ho 0.0000 0.0000 2.9008
Hg 1.7495 1.7495 0.8303
Rh 1.7495 1.7495 4.5280
```



# 4
HoThHgRh: relaxed, PBE-GGA.

Values from the calculation:
Energy of formation from the pure elements in meV/atom: -483
Uncorrected energy in eV/atom: -5.3961
Energy above the lowest structure with this stoichiometry in meV/atom: 101
SG: No. 216
Fermi-level density of states in states/eV/f.u.: 3.74
Magnetization in μB per cell: 0.00

Geometry as extended XYZ:
```
4
Lattice="5.1506 0.0000 0.0000 2.5753 4.4605 0.0000 2.5753 1.4868 4.2054" Properties=species:S:1:pos:R:3 pbc="T T T"
Rh 0.0000 0.0000 0.0000
Hg 5.1506 2.9737 2.1027
Th 7.7258 4.4605 3.1541
Ho 2.5753 1.4868 1.0514
```



# 5
HoThHgRh: relaxed, PBE-GGA.

Values from the calculation:
Energy of formation from the pure elements in meV/atom: -584
Uncorrected energy in eV/atom: -5.4972
Energy above the lowest structure with this stoichiometry in meV/atom: 0
SG: No. 160
Fermi-level density of states in states/eV/f.u.: 3.82
Magnetization in μB per cell: 0.00

Geometry as extended XYZ:
```
4
Lattice="-0.3593 -3.9933 0.6882 1.0444 1.3464 -3.6996 7.2140 1.8879 2.7232" Properties=species:S:1:pos:R:3 pbc="T T T"
Ho 4.7310 -0.5437 1.5952
Th 1.4374 0.9958 -3.2588
Hg 2.7758 -2.6667 0.2716
Rh 6.7111 1.1683 0.5351
```



# 6
Ho4TlHg2Rh: relaxed, PBE-GGA.

Values from the calculation:
Energy of formation from the pure elements in meV/atom: -537
Uncorrected energy in eV/atom: -4.1157
SG: No. 166
Fermi-level density of states in states/eV/f.u.: 6.35
Magnetization in μB per cell: 0.00

Geometry as extended XYZ:
```
8
Lattice="-5.0286 1.1574 -0.5023 -3.5222 -2.4161 2.9386 -2.0646 5.5238 6.6405" Properties=species:S:1:pos:R:3 pbc="T T T"
Ho -5.0389 4.1659 6.5325
Ho -8.2394 1.0975 4.7469
Ho -2.3761 3.1676 4.3299
Ho -5.5765 0.0991 2.5443
Tl 0.0000 0.0000 0.0000
Hg -7.9452 3.3229 6.9293
Hg -2.6703 0.9422 2.1475
Rh -5.3077 2.1325 4.5384
```



# 7
HoZnHgRh: relaxed, PBE-GGA.

Values from the calculation:
Energy of formation from the pure elements in meV/atom: -352
Uncorrected energy in eV/atom: -3.7287
SG: No. 216
Fermi-level density of states in states/eV/f.u.: 2.29
Magnetization in μB per cell: 0.00

Geometry as extended XYZ:
```
4
Lattice="4.7725 0.0000 0.0000 2.3863 4.1331 0.0000 2.3863 1.3777 3.8967" Properties=species:S:1:pos:R:3 pbc="T T T"
Zn 2.3863 1.3777 0.9742
Rh 4.7725 2.7554 1.9484
Hg 0.0000 0.0000 0.0000
Ho 7.1588 4.1331 2.9226
```



# 8
Ho5Hg2Ru2: relaxed, PBE-GGA.

Values from the calculation:
Energy of formation from the pure elements in meV/atom: -440
Uncorrected energy in eV/atom: -5.1120
SG: No. 64
Fermi-level density of states in states/eV/f.u.: 6.54
Magnetization in μB per cell: 0.00

Geometry as extended XYZ:
```
18
Lattice="-5.3081 -2.3932 -4.5235 3.4696 -6.6825 -0.5359 -6.8071 -3.8566 4.0190" Properties=species:S:1:pos:R:3 pbc="T T T"
Ho 0.0000 0.0000 0.0000
Ho -0.9192 -4.5379 -2.5297
Ho -6.9209 -5.1600 0.9270
Ho -6.5154 -10.3375 -0.9976
Ho -4.3817 -8.1386 1.3445
Ho -9.0545 -7.3589 -1.4151
Ho -1.7246 -7.7723 -1.9673
Ho -2.1301 -2.5948 -0.0427
Ho -4.2638 -4.7937 -2.3848
Ho 0.4090 -5.5735 0.3748
Hg -4.9997 -2.6990 1.2857
Hg -5.9190 -7.2369 -1.2439
Hg -7.1154 -3.5508 -1.7902
Hg -2.7266 -5.6955 0.2036
Ru 0.6313 -2.7802 -0.7600
Ru -2.4698 -6.2955 -4.2994
Ru 1.0283 -6.7246 -2.1680
Ru -2.8668 -2.3511 -2.8914
```



# 9
Ho6HgRu: relaxed, PBE-GGA.

Values from the calculation:
Energy of formation from the pure elements in meV/atom: -62
Uncorrected energy in eV/atom: -4.6926
SG: No. 2
Fermi-level density of states in states/eV/f.u.: 10.26
Magnetization in μB per cell: 0.00

Geometry as extended XYZ:
```
8
Lattice="-0.9080 6.0467 2.9329 -6.2527 2.5925 0.5617 -3.0494 0.0380 6.7864" Properties=species:S:1:pos:R:3 pbc="T T T"
Ho -4.9617 1.3899 5.5072
Ho -3.2991 4.8555 7.4451
Ho -2.6492 4.1022 3.4831
Ho -6.9110 3.8218 2.8359
Ho -5.2484 7.2874 4.7738
Ho -7.5609 4.5751 6.7979
Hg -5.1050 4.3386 5.1405
Ru 0.0000 0.0000 0.0000
```



# 10
HoHgRu: relaxed, PBE-GGA.

Values from the calculation:
Energy of formation from the pure elements in meV/atom: -198
Uncorrected energy in eV/atom: -4.9165
SG: No. 12
Fermi-level density of states in states/eV/f.u.: 2.84
Magnetization in μB per cell: 0.00

Geometry as extended XYZ:
```
6
Lattice="4.2648 0.0000 0.0000 0.0000 5.0932 -0.0513 -2.1324 -1.1637 6.2200" Properties=species:S:1:pos:R:3 pbc="T T T"
Ru 2.1324 -0.0675 3.4146
Ru 0.0000 3.9971 2.7542
Hg 2.1324 3.7887 0.8314
Hg 0.0000 0.1408 5.3373
Ho 2.1324 2.5409 4.5787
Ho 0.0000 1.3886 1.5900
```



# 11
Ho2HgRu: relaxed, PBE-GGA.

Values from the calculation:
Energy of formation from the pure elements in meV/atom: -373
Uncorrected energy in eV/atom: -5.0567
Energy above the lowest structure with this stoichiometry in meV/atom: 129
SG: No. 225
Fermi-level density of states in states/eV/f.u.: 4.13
Magnetization in μB per cell: 0.00

Geometry as extended XYZ:
```
4
Lattice="-2.5085 -3.8086 2.0650 2.3432 -3.1484 3.1079 -1.0599 0.0605 4.8923" Properties=species:S:1:pos:R:3 pbc="T T T"
Ru -0.6126 -3.4482 5.0326
Hg 0.0000 0.0000 0.0000
Ho -0.3063 -1.7241 2.5163
Ho -0.9189 -5.1724 7.5489
```



# 12
Ho3Hg2Ru: relaxed, PBE-GGA.

Values from the calculation:
Energy of formation from the pure elements in meV/atom: -472
Uncorrected energy in eV/atom: -4.4074
SG: No. 10
Fermi-level density of states in states/eV/f.u.: 3.81
Magnetization in μB per cell: 0.00

Geometry as extended XYZ:
```
12
Lattice="-1.5620 -4.8021 -0.2309 5.1275 -4.5346 4.0078 -3.9442 0.9867 6.1624" Properties=species:S:1:pos:R:3 pbc="T T T"
Ho -2.5627 -4.7814 5.9787
Ho -1.7034 -2.1703 1.3256
Ho 2.1841 -3.5687 3.9606
Ho -0.3945 -5.3236 2.5912
Ho 0.0159 -3.0264 7.3481
Ho -3.8028 -1.6451 4.6059
Hg 0.0000 0.0000 0.0000
Hg -1.9721 0.4933 3.0812
Hg -0.8006 -2.6190 4.3293
Hg 0.4220 -5.7310 5.6100
Ru 1.1787 -3.1071 1.2519
Ru 2.3867 -6.2296 2.5250
```



# 13
Ho4HgRu3: relaxed, PBE-GGA.

Values from the calculation:
Energy of formation from the pure elements in meV/atom: -412
Uncorrected energy in eV/atom: -6.2171
SG: No. 123
Fermi-level density of states in states/eV/f.u.: 2.61
Magnetization in μB per cell: 0.00

Geometry as extended XYZ:
```
16
Lattice="4.8603 0.0000 0.0000 0.0000 7.0221 0.0000 0.0000 0.0000 9.7202" Properties=species:S:1:pos:R:3 pbc="T T T"
Ru 0.0000 0.0000 0.0000
Ru 0.0000 0.0000 4.8601
Ru 2.4299 0.0000 7.2901
Ru 2.4304 0.0000 2.4300
Ru 2.4298 3.5111 7.2901
Ru 2.4305 3.5111 2.4300
Ho 2.4301 5.3684 0.0000
Ho 2.4301 5.3684 4.8601
Ho 2.4301 1.6537 0.0000
Ho 2.4301 1.6537 4.8601
Ho 4.8602 5.3683 7.2901
Ho 0.0001 5.3683 2.4300
Ho 0.0001 1.6538 2.4300
Ho 4.8602 1.6538 7.2901
Hg 0.0000 3.5111 0.0000
Hg 0.0000 3.5111 4.8601
```



# 14
Ho5Hg2Ru: relaxed, PBE-GGA.

Values from the calculation:
Energy of formation from the pure elements in meV/atom: -403
Uncorrected energy in eV/atom: -4.4990
SG: No. 55
Fermi-level density of states in states/eV/f.u.: 6.35
Magnetization in μB per cell: 0.00

Geometry as extended XYZ:
```
16
Lattice="4.8446 0.0000 0.0000 0.0000 7.2011 0.0000 0.0000 0.0000 11.9135" Properties=species:S:1:pos:R:3 pbc="T T T"
Ho 0.0000 0.0000 5.9567
Ho 0.0000 3.6005 0.0000
Ho 0.0000 6.1808 2.4509
Ho 0.0000 1.0202 9.4626
Ho 0.0000 4.6207 8.4076
Ho 0.0000 2.5803 3.5058
Ho 2.4223 4.8706 4.9658
Ho 2.4223 2.3304 6.9477
Ho 2.4223 5.9309 10.9225
Ho 2.4223 1.2701 0.9909
Hg 2.4223 4.1883 1.9225
Hg 2.4223 3.0127 9.9910
Hg 2.4223 6.6132 7.8792
Hg 2.4223 0.5878 4.0343
Ru 0.0000 3.6005 5.9567
Ru 0.0000 0.0000 0.0000
```



# 15
Ho2HgRu: relaxed, PBE-GGA.

Values from the calculation:
Energy of formation from the pure elements in meV/atom: -502
Uncorrected energy in eV/atom: -5.1857
Energy above the lowest structure with this stoichiometry in meV/atom: 0
SG: No. 123
Fermi-level density of states in states/eV/f.u.: 2.69
Magnetization in μB per cell: 0.00

Geometry as extended XYZ:
```
4
Lattice="-3.3032 -0.7604 -0.6974 0.7893 -3.3687 -0.0654 -1.4381 -0.4793 7.3344" Properties=species:S:1:pos:R:3 pbc="T T T"
Ru -1.2569 -2.0645 -0.3814
Hg -1.9760 -2.3042 3.2858
Ho -1.1216 -0.3738 5.7202
Ho -0.3165 -0.1055 1.6142
```



# 16
Ho2Hg2Ru: relaxed, PBE-GGA.

Values from the calculation:
Energy of formation from the pure elements in meV/atom: -413
Uncorrected energy in eV/atom: -4.2204
SG: No. 139
Fermi-level density of states in states/eV/f.u.: 2.51
Magnetization in μB per cell: 0.00

Geometry as extended XYZ:
```
5
Lattice="3.3929 0.0000 -0.5444 -0.0873 3.3917 -0.5444 -0.1509 -0.1548 9.9051" Properties=species:S:1:pos:R:3 pbc="T T T"
Ho 1.9110 1.9608 1.0650
Ho 1.2437 1.2761 7.7513
Hg 2.5596 2.6264 5.1078
Hg 0.5950 0.6106 3.7086
Ru 0.0000 0.0000 0.0000
```



# 17
Ho2HgRu: relaxed, PBE-GGA.

Values from the calculation:
Energy of formation from the pure elements in meV/atom: -271
Uncorrected energy in eV/atom: -4.9540
Energy above the lowest structure with this stoichiometry in meV/atom: 232
SG: No. 166
Fermi-level density of states in states/eV/f.u.: 4.12
Magnetization in μB per cell: 0.00

Geometry as extended XYZ:
```
4
Lattice="3.6943 0.0000 0.0000 1.8471 3.1993 0.0000 1.8471 1.0664 8.3292" Properties=species:S:1:pos:R:3 pbc="T T T"
Ru 0.0000 0.0000 0.0000
Hg 3.6943 2.1329 4.1646
Ho 5.5414 3.1993 6.5734
Ho 1.8471 1.0664 1.7558
```



# 18
Ho6Hg5Ru: relaxed, PBE-GGA.

Values from the calculation:
Energy of formation from the pure elements in meV/atom: -489
Uncorrected energy in eV/atom: -3.6768
SG: No. 71
Fermi-level density of states in states/eV/f.u.: 5.80
Magnetization in μB per cell: 0.00

Geometry as extended XYZ:
```
12
Lattice="-3.5970 -2.7782 -2.4080 5.0432 -5.1870 -1.5499 -2.3719 0.4113 8.5663" Properties=species:S:1:pos:R:3 pbc="T T T"
Ru 0.0000 0.0000 0.0000
Ho 0.6712 -2.3374 1.6948
Ho 3.3407 -5.0831 0.8744
Ho -0.6495 -2.5709 -1.5572
Ho -0.2761 -4.9830 6.1655
Ho -4.2664 -2.4708 3.7340
Ho -1.5969 -5.2166 2.9136
Hg 1.4661 -4.8798 3.4420
Hg 0.1758 -5.1682 0.2082
Hg 2.5216 -2.5935 -0.7749
Hg -1.1015 -2.3857 4.4001
Hg -2.3917 -2.6741 1.1663
```



# 19
HoScHgRu: relaxed, PBE-GGA.

Values from the calculation:
Energy of formation from the pure elements in meV/atom: -380
Uncorrected energy in eV/atom: -5.5018
Energy above the lowest structure with this stoichiometry in meV/atom: 148
SG: No. 216
Fermi-level density of states in states/eV/f.u.: 3.73
Magnetization in μB per cell: 0.00

Geometry as extended XYZ:
```
4
Lattice="-2.1474 3.2035 -2.9982 -4.8702 0.3675 -0.0988 -2.1877 3.9675 1.8265" Properties=species:S:1:pos:R:3 pbc="T T T"
Sc -4.6026 3.7693 -0.6353
Ru -6.9039 5.6539 -0.9529
Hg -2.3013 1.8846 -0.3176
Ho 0.0000 0.0000 0.0000
```



# 20
HoScHgRu: relaxed, PBE-GGA.

Values from the calculation:
Energy of formation from the pure elements in meV/atom: -528
Uncorrected energy in eV/atom: -5.6495
Energy above the lowest structure with this stoichiometry in meV/atom: 0
SG: No. 99
Fermi-level density of states in states/eV/f.u.: 2.69
Magnetization in μB per cell: 0.00

Geometry as extended XYZ:
```
4
Lattice="-2.4738 2.2468 0.5042 -0.6102 -1.3533 3.0361 4.7687 4.5775 2.9988" Properties=species:S:1:pos:R:3 pbc="T T T"
Ho 2.2255 4.0632 4.1394
Sc 0.1298 2.0515 2.8215
Hg 0.4324 0.4151 0.2719
Ru 2.6391 2.5332 1.6595
```



Summary of density in g/cm3
9.4, 11.4, 11.3, 12.0, 10.7, 11.7, 11.5, 10.7, 8.5, 11.5, 11.8, 11.8, 11.6, 10.6, 11.7, 12.2, 10.7, 11.9, 10.3, 10.2
(order as listed above)